Entry 1:
Below is an optimized crystal structure of NdYInIr, with properties calculated at the PBE level.

a b c (Å): 5.167 5.167 5.167
angles (deg): 60.00 60.00 60.00
Sites, in units of the cell vectors:
In  0.000  0.000  0.000
Y  0.250  0.250  0.250
Nd  0.750  0.750  0.750
Ir  0.500  0.500  0.500

Summary:
Fermi-level density of states ... 0.844 states/eV per atom
ΔH_f (0 K) ... -182 kJ/mol of formula units
Final energy ... -24.7 eV per cell
Total moment ... 0.000 μB/atom

Entry 2:
Below is an optimized crystal structure of TlGa2GeO6, with properties calculated at the PBE level.

a b c (Å): 6.106 7.234 7.234
angles (deg): 101.55 74.58 74.58
Sites, in units of the cell vectors:
O  0.964  0.325  0.436
Ga  0.160  0.448  0.295
O  0.965  0.362  0.834
O  0.535  0.166  0.638
Ga  0.660  0.295  0.448
Ge  0.250  0.195  0.805
Ge  0.750  0.805  0.195
O  0.536  0.564  0.675
Tl  0.750  0.107  0.893
O  0.464  0.436  0.325
O  0.035  0.638  0.166
O  0.696  0.780  0.958
O  0.465  0.834  0.362
O  0.804  0.042  0.220
O  0.036  0.675  0.564
Ga  0.340  0.705  0.552
Ga  0.840  0.552  0.705
Tl  0.250  0.893  0.107
O  0.196  0.958  0.780
O  0.304  0.220  0.042

Summary:
Fermi-level density of states ... 0.302 states/eV per atom
Final energy ... -114.7 eV per cell
Total moment ... 0.000 μB/atom

Entry 3:
Below is an optimized crystal structure of KMnW2, with properties calculated at the PBE level.

a b c (Å): 2.696 5.088 5.544
angles (deg): 90.00 90.00 90.00
Sites, in units of the cell vectors:
K  0.500  0.000  0.500
W  0.000  0.000  0.000
Mn  0.000  0.500  0.500
W  0.500  0.500  0.000

Summary:
Fermi-level density of states ... 1.042 states/eV per atom
ΔH_f (0 K) ... 588 kJ/mol of formula units
Final energy ... -30.1 eV per cell
Total moment ... 1.023 μB/atom

Entry 4:
Below is an optimized crystal structure of TaGaI2, with properties calculated at the PBE level.

a b c (Å): 4.072 5.790 11.205
angles (deg): 102.63 100.16 90.00
Sites, in units of the cell vectors:
I  0.224  0.463  0.067
Ta  0.824  0.595  0.275
I  0.780  0.018  0.183
Ga  0.940  0.758  0.513
Ga  0.384  0.450  0.397
I  0.055  0.793  0.748
Ta  0.365  0.931  0.359
I  0.482  0.226  0.599

Summary:
Fermi-level density of states ... 0.060 states/eV per atom
Final energy ... -36.4 eV per cell
Total moment ... 0.000 μB/atom

Entry 5:
Below is an optimized crystal structure of CeLuCoCu, with properties calculated at the PBE level.

a b c (Å): 4.787 4.787 4.787
angles (deg): 60.00 60.00 60.00
Sites, in units of the cell vectors:
Ce  0.500  0.500  0.500
Lu  0.000  0.000  0.000
Cu  0.250  0.250  0.250
Co  0.750  0.750  0.750

Summary:
Fermi-level density of states ... 1.020 states/eV per atom
ΔH_f (0 K) ... -65 kJ/mol of formula units
Final energy ... -22.3 eV per cell
Total moment ... 0.006 μB/atom

Entry 6:
Below is an optimized crystal structure of Mg3Zn2Pd3, with properties calculated at the PBE level.

a b c (Å): 4.792 6.658 11.418
angles (deg): 90.00 90.00 135.10
Sites, in units of the cell vectors:
Pd  0.094  0.243  0.618
Pd  0.399  0.741  0.750
Zn  0.094  0.255  0.367
Pd  0.906  0.757  0.118
Zn  0.906  0.745  0.867
Pd  0.906  0.757  0.382
Zn  0.906  0.745  0.633
Mg  0.428  0.747  0.512
Zn  0.094  0.255  0.133
Mg  0.572  0.253  0.012
Pd  0.601  0.259  0.250
Mg  0.607  0.244  0.750
Mg  0.572  0.253  0.488
Mg  0.393  0.756  0.250
Mg  0.428  0.747  0.988
Pd  0.094  0.243  0.882

Summary:
Fermi-level density of states ... 0.316 states/eV per atom
ΔH_f (0 K) ... -380 kJ/mol of formula units
Final energy ... -53.7 eV per cell
Total moment ... 0.000 μB/atom

Entry 7:
Below is an optimized crystal structure of LaTb2In4, with properties calculated at the PBE level.

a b c (Å): 4.706 4.706 10.126
angles (deg): 103.44 103.44 90.00
Sites, in units of the cell vectors:
In  0.373  0.873  0.746
Tb  0.249  0.249  0.498
Tb  0.751  0.751  0.502
In  0.873  0.373  0.746
In  0.627  0.127  0.254
In  0.127  0.627  0.254
La  0.000  0.000  0.000

Summary:
Fermi-level density of states ... 0.991 states/eV per atom
ΔH_f (0 K) ... -199 kJ/mol of formula units
Final energy ... -27.2 eV per cell
Total moment ... 0.000 μB/atom

Entry 8:
Below is an optimized crystal structure of LaPbClO2, with properties calculated at the PBE level.

a b c (Å): 4.357 7.300 4.357
angles (deg): 90.00 90.00 90.00
Sites, in units of the cell vectors:
La  0.000  0.000  0.000
Cl  0.500  0.500  0.500
O  0.500  0.000  0.000
Pb  0.000  0.500  0.000
O  0.000  0.000  0.500

Summary:
Fermi-level density of states ... 0.928 states/eV per atom
Final energy ... -26.9 eV per cell
Total moment ... 0.000 μB/atom

Look up the total moment of the fifth one. 0.006 μB/atom

Which of these has the highest final energy? CeLuCoCu